[1]
# BaPrCr2O8, optimized geometry, DFT PBE+U
# ρ = 3.7 g/cm3
# M_tot = 1.000 μB/cell
# crystal system = trigonal
# total energy = -85.9 eV/cell
data_BaPrCr2O8
_space_group_name_H-M_alt 'P -3 m 1'
_space_group_IT_number 164
_space_group_name_Hall '-P 3 2"'
_cell_length_a 5.7779
_cell_length_b 5.7779
_cell_length_c 7.8387
_cell_angle_alpha 90.00
_cell_angle_beta 90.00
_cell_angle_gamma 120.00
loop_
_atom_site_label
_atom_site_type_symbol
_atom_site_fract_x
_atom_site_fract_y
_atom_site_fract_z
_atom_site_occupancy
Ba1 Ba 0.0000 0.0000 0.0000 1
Pr1 Pr 0.0000 0.0000 0.5000 1
Cr1 Cr 0.3333 0.6667 0.7790 1
O1 O 0.1722 0.3444 0.7082 1
O2 O 0.3333 0.6667 0.9898 1


[2]
# BaCrPtO6, optimized geometry, DFT PBE+U
# ρ = 5.8 g/cm3
# M_tot = 0.032 μB/cell
# crystal system = monoclinic
# total energy = -114.6 eV/cell
data_BaCrPtO6
_space_group_name_H-M_alt 'C 1 2 1'
_space_group_IT_number 5
_cell_length_a 5.2632
_cell_length_b 9.0423
_cell_length_c 5.7601
_cell_angle_alpha 90.00
_cell_angle_beta 90.40
_cell_angle_gamma 90.00
loop_
_space_group_symop_operation_xyz
'x,y,z'
'-x,y,-z'
'x+1/2,y+1/2,z'
'-x+1/2,y+1/2,-z'
loop_
_atom_site_label
_atom_site_type_symbol
_atom_site_fract_x
_atom_site_fract_y
_atom_site_fract_z
_atom_site_occupancy
Ba1 Ba 0.0000 0.0000 0.0000 1
Cr1 Cr 0.0000 0.6704 0.5000 1
Pt1 Pt 0.0000 0.3328 0.5000 1
O1 O 0.1159 0.5051 0.6856 1
O2 O 0.1861 0.8032 0.6886 1
O3 O 0.1992 0.1939 0.6923 1


[3]
# Ba2CrPt3O12, optimized geometry, DFT PBE+U
# ρ = 7.2 g/cm3
# M_tot = 0.311 μB/cell
# crystal system = trigonal
# total energy = -328.5 eV/cell
data_Ba2CrPt3O12
_space_group_name_H-M_alt 'R -3 m'
_space_group_IT_number 166
_space_group_name_Hall '-R 3 2"'
_cell_length_a 7.0971
_cell_length_b 7.0971
_cell_length_c 17.4360
_cell_angle_alpha 90.00
_cell_angle_beta 90.00
_cell_angle_gamma 120.00
loop_
_atom_site_label
_atom_site_type_symbol
_atom_site_fract_x
_atom_site_fract_y
_atom_site_fract_z
_atom_site_occupancy
Ba1 Ba 0.0000 0.0000 0.1508 1
Cr1 Cr 0.0000 0.0000 0.5000 1
Pt1 Pt 0.0000 0.5000 0.0000 1
O1 O 0.0649 0.5325 0.3717 1
O2 O 0.0757 0.5378 0.1104 1


[4]
# BaCr2PtO8, optimized geometry, DFT PBE+U
# ρ = 5.3 g/cm3
# M_tot = 2.000 μB/cell
# crystal system = trigonal
# total energy = -79.0 eV/cell
data_BaCr2PtO8
_space_group_name_H-M_alt 'P -3'
_space_group_IT_number 147
_cell_length_a 5.1827
_cell_length_b 5.1827
_cell_length_c 7.6324
_cell_angle_alpha 90.00
_cell_angle_beta 90.00
_cell_angle_gamma 120.00
loop_
_space_group_symop_operation_xyz
'x,y,z'
'-x,-y,-z'
'-y,x-y,z'
'y,-x+y,-z'
'-x+y,-x,z'
'x-y,x,-z'
loop_
_atom_site_label
_atom_site_type_symbol
_atom_site_fract_x
_atom_site_fract_y
_atom_site_fract_z
_atom_site_occupancy
Ba1 Ba 0.0000 0.0000 0.0000 1
Cr1 Cr 0.3333 0.6667 0.7271 1
Pt1 Pt 0.0000 0.0000 0.5000 1
O1 O 0.0369 0.3222 0.6636 1
O2 O 0.3333 0.6667 0.9467 1


[5]
# BaPuCr2O8, optimized geometry, DFT PBE+U
# ρ = 4.8 g/cm3
# M_tot = 6.000 μB/cell
# crystal system = trigonal
# total energy = -95.7 eV/cell
data_BaPuCr2O8
_space_group_name_H-M_alt 'P -3 m 1'
_space_group_IT_number 164
_space_group_name_Hall '-P 3 2"'
_cell_length_a 5.7409
_cell_length_b 5.7409
_cell_length_c 7.4995
_cell_angle_alpha 90.00
_cell_angle_beta 90.00
_cell_angle_gamma 120.00
loop_
_atom_site_label
_atom_site_type_symbol
_atom_site_fract_x
_atom_site_fract_y
_atom_site_fract_z
_atom_site_occupancy
Ba1 Ba 0.0000 0.0000 0.0000 1
Pu1 Pu 0.0000 0.0000 0.5000 1
Cr1 Cr 0.3333 0.6667 0.2392 1
O1 O 0.1641 0.3282 0.3169 1
O2 O 0.3333 0.6667 0.0173 1


[6]
# Ba2Pu3CrO12, optimized geometry, DFT PBE+U
# ρ = 6.6 g/cm3
# M_tot = 30.000 μB/cell
# crystal system = trigonal
# total energy = -480.3 eV/cell
data_Ba2Pu3CrO12
_space_group_name_H-M_alt 'R -3 m'
_space_group_IT_number 166
_space_group_name_Hall '-R 3 2"'
_cell_length_a 7.8752
_cell_length_b 7.8752
_cell_length_c 17.4586
_cell_angle_alpha 90.00
_cell_angle_beta 90.00
_cell_angle_gamma 120.00
loop_
_atom_site_label
_atom_site_type_symbol
_atom_site_fract_x
_atom_site_fract_y
_atom_site_fract_z
_atom_site_occupancy
Ba1 Ba 0.0000 0.0000 0.1660 1
Pu1 Pu 0.0000 0.5000 0.0000 1
Cr1 Cr 0.0000 0.0000 0.5000 1
O1 O 0.0857 0.5429 0.1072 1
O2 O 0.0856 0.5428 0.3743 1